[1]
# PBE Nd5PuS8, optimized geometry
data_Nd5PuS8
_cell_length_a 8.573
_cell_length_b 8.573
_cell_length_c 8.534
_cell_angle_alpha 90.00
_cell_angle_beta 90.00
_cell_angle_gamma 90.00
_space_group_name_H-M_alt 'I -4'
_space_group_IT_number 82
loop_
_space_group_symop_operation_xyz
'x,y,z'
'y,-x,-z'
'-x,-y,z'
'-y,x,-z'
'x+1/2,y+1/2,z+1/2'
'y+1/2,-x+1/2,-z+1/2'
'-x+1/2,-y+1/2,z+1/2'
'-y+1/2,x+1/2,-z+1/2'
loop_
_atom_site_label
_atom_site_fract_x
_atom_site_fract_y
_atom_site_fract_z
Nd1 0.000 0.000 0.000
Nd2 0.126 0.251 0.622
Pu1 0.000 0.500 0.250
S1 0.074 0.177 0.298
S2 0.075 0.325 0.949
# * formation energy (no corrections): -27.914 eV/f.u.
# * V: 627.2 Å³/cell
# * crystal system: tetragonal
# * D(E_F): 25.33 states/eV per cell

[2]
# PBE NdPu6S8, optimized geometry
data_NdPu6S8
_cell_length_a 11.248
_cell_length_b 11.248
_cell_length_c 11.248
_cell_angle_alpha 90.00
_cell_angle_beta 90.00
_cell_angle_gamma 90.00
_space_group_name_H-M_alt 'F m -3 m'
_space_group_IT_number 225
_space_group_name_Hall '-F 4 2 3'
loop_
_atom_site_label
_atom_site_fract_x
_atom_site_fract_y
_atom_site_fract_z
Nd1 0.000 0.000 0.000
Pu1 0.000 0.250 0.250
S1 0.000 0.000 0.252
S2 0.250 0.250 0.250
# * formation energy (no corrections): -26.659 eV/f.u.
# * V: 1422.9 Å³/cell
# * crystal system: cubic
# * D(E_F): 210.38 states/eV per cell

[3]
# PBE NdPu5S6, optimized geometry
data_NdPu5S6
_cell_length_a 6.873
_cell_length_b 11.893
_cell_length_c 6.898
_cell_angle_alpha 90.00
_cell_angle_beta 109.39
_cell_angle_gamma 90.00
_space_group_name_H-M_alt 'C 1 2/m 1'
_space_group_IT_number 12
loop_
_space_group_symop_operation_xyz
'x,y,z'
'-x,-y,-z'
'-x,y,-z'
'x,-y,z'
'x+1/2,y+1/2,z'
'-x+1/2,-y+1/2,-z'
'-x+1/2,y+1/2,-z'
'x+1/2,-y+1/2,z'
loop_
_atom_site_label
_atom_site_fract_x
_atom_site_fract_y
_atom_site_fract_z
Nd1 0.000 0.000 0.000
Pu1 0.000 0.165 0.500
Pu2 0.000 0.333 0.000
Pu3 0.000 0.500 0.500
S1 0.244 0.500 0.252
S2 0.246 0.331 0.747
# * formation energy (no corrections): -21.439 eV/f.u.
# * V: 531.9 Å³/cell
# * crystal system: monoclinic
# * D(E_F): 78.34 states/eV per cell

[4]
# PBE NdPuS2, optimized geometry
data_NdPuS2
_cell_length_a 4.0032
_cell_length_b 4.0032
_cell_length_c 19.7422
_cell_angle_alpha 90.00
_cell_angle_beta 90.00
_cell_angle_gamma 120.00
_space_group_name_H-M_alt 'R -3 m'
_space_group_IT_number 166
_space_group_name_Hall '-R 3 2"'
loop_
_atom_site_label
_atom_site_fract_x
_atom_site_fract_y
_atom_site_fract_z
Nd1 0.0000 0.0000 0.0000
Pu1 0.0000 0.0000 0.5000
S1 0.0000 0.0000 0.2464
# * formation energy (no corrections): -7.650 eV/f.u.
# * energy above the lowest structure with this stoichiometry: 0.0 meV/atom
# * V: 274.0 Å³/cell
# * crystal system: trigonal
# * D(E_F): 24.34 states/eV per cell

[5]
# PBE NdPu2S3, optimized geometry
data_NdPu2S3
_cell_length_a 3.9828
_cell_length_b 3.9828
_cell_length_c 19.8068
_cell_angle_alpha 90.00
_cell_angle_beta 90.00
_cell_angle_gamma 120.00
_space_group_name_H-M_alt 'P 63/m m c'
_space_group_IT_number 194
_space_group_name_Hall '-P 6c 2c'
loop_
_atom_site_label
_atom_site_fract_x
_atom_site_fract_y
_atom_site_fract_z
Nd1 0.0000 0.0000 0.2500
Pu1 0.3333 0.6667 0.0823
S1 0.0000 0.0000 0.0000
S2 0.3333 0.6667 0.6611
# * formation energy (no corrections): -11.050 eV/f.u.
# * V: 272.1 Å³/cell
# * crystal system: hexagonal
# * D(E_F): 33.80 states/eV per cell

[6]
# PBE NdPuS2, optimized geometry
data_NdPuS2
_cell_length_a 3.9523
_cell_length_b 3.9523
_cell_length_c 13.6565
_cell_angle_alpha 90.00
_cell_angle_beta 90.00
_cell_angle_gamma 120.00
_space_group_name_H-M_alt 'P 63/m m c'
_space_group_IT_number 194
_space_group_name_Hall '-P 6c 2c'
loop_
_atom_site_label
_atom_site_fract_x
_atom_site_fract_y
_atom_site_fract_z
Nd1 0.0000 0.0000 0.0000
Pu1 0.3333 0.6667 0.2500
S1 0.3333 0.6667 0.6263
# * formation energy (no corrections): -7.400 eV/f.u.
# * energy above the lowest structure with this stoichiometry: 62.7 meV/atom
# * V: 184.7 Å³/cell
# * crystal system: hexagonal
# * D(E_F): 19.29 states/eV per cell

[7]
# PBE Nd3Pu5S8, optimized geometry
data_Nd3Pu5S8
_cell_length_a 8.0011
_cell_length_b 8.0011
_cell_length_c 19.6368
_cell_angle_alpha 90.00
_cell_angle_beta 90.00
_cell_angle_gamma 120.00
_space_group_name_H-M_alt 'R -3 m'
_space_group_IT_number 166
_space_group_name_Hall '-R 3 2"'
loop_
_atom_site_label
_atom_site_fract_x
_atom_site_fract_y
_atom_site_fract_z
Nd1 0.0000 0.5000 0.0000
Pu1 0.0000 0.0000 0.0000
Pu2 0.0000 0.0000 0.5000
Pu3 0.0000 0.5000 0.5000
S1 0.0000 0.0000 0.2465
S2 0.0051 0.5026 0.7526
# * formation energy (no corrections): -30.008 eV/f.u.
# * V: 1088.7 Å³/cell
# * crystal system: trigonal
# * D(E_F): 115.79 states/eV per cell

[8]
# PBE NdPuS4, optimized geometry
data_NdPuS4
_cell_length_a 8.932
_cell_length_b 9.055
_cell_length_c 4.170
_cell_angle_alpha 90.00
_cell_angle_beta 90.00
_cell_angle_gamma 90.00
_space_group_name_H-M_alt 'C m m m'
_space_group_IT_number 65
_space_group_name_Hall '-C 2 2'
loop_
_atom_site_label
_atom_site_fract_x
_atom_site_fract_y
_atom_site_fract_z
Nd1 0.000 0.000 0.000
Pu1 0.000 0.500 0.500
S1 0.000 0.318 0.000
S2 0.209 0.000 0.500
# * formation energy (no corrections): -8.109 eV/f.u.
# * V: 337.2 Å³/cell
# * crystal system: orthorhombic
# * D(E_F): 14.03 states/eV per cell

The lowest formation energy (no corrections) belongs to which entry? Nd3Pu5S8